1.
The following is a DFT calculation (GGA-PBE) of an optimized crystal structure of SmHgTe.

POSCAR file:
```
SmHgTe
1.0
0.000 3.672 3.672
3.672 0.000 3.672
3.672 3.672 0.000
Sm Hg Te
1 1 1
direct
0.000 0.000 0.000 Sm
0.750 0.750 0.750 Hg
0.250 0.250 0.250 Te
```

## Properties
Total DFT energy (no corrections)   -3.365 eV per atom

=====

2.
The following is a DFT calculation (GGA-PBE) of an optimized crystal structure of SmTlHg.

POSCAR file:
```
SmTlHg
1.0
0.000 3.622 3.622
3.622 0.000 3.622
3.622 3.622 0.000
Sm Tl Hg
1 1 1
direct
0.000 0.000 0.000 Sm
0.250 0.250 0.250 Tl
0.750 0.750 0.750 Hg
```

## Properties
Total DFT energy (no corrections)   -2.534 eV per atom

=====

3.
The following is a DFT calculation (GGA-PBE) of an optimized crystal structure of Sm3TlHg5.

POSCAR file:
```
Sm3TlHg5
1.0
9.094 0.000 0.000
-4.547 7.875 0.000
0.000 0.000 6.487
Sm Tl Hg
6 2 10
direct
0.000 0.335 0.250 Sm
0.000 0.665 0.750 Sm
0.335 0.000 0.250 Sm
0.335 0.335 0.750 Sm
0.665 0.000 0.750 Sm
0.665 0.665 0.250 Sm
0.000 0.000 0.000 Tl
0.000 0.000 0.500 Tl
0.000 0.335 0.750 Hg
0.000 0.665 0.250 Hg
0.333 0.667 0.000 Hg
0.333 0.667 0.500 Hg
0.335 0.000 0.750 Hg
0.335 0.335 0.250 Hg
0.665 0.000 0.250 Hg
0.665 0.665 0.750 Hg
0.667 0.333 0.000 Hg
0.667 0.333 0.500 Hg
```

## Properties
Total DFT energy (no corrections)   -2.423 eV per atom

=====

| no. | magnetization (μB/f.u.) |
| --- | --- |
| 1 | 0.08 |
| 2 | 0.00 |
| 3 | 0.00 |